(1)
Material: SiAsRh
Method: DFT, GGA-PBE
State: optimized geometry

Values from the calculation:
Its symmetry is P2_1/c, No. 14. For the energy relative to the elements, uncorrected, the calculation gives -0.47 eV/atom.

POSCAR file:
```
SiAsRh
1.0
6.1609 0.0000 0.0000
0.0000 6.1581 -1.0472
0.0000 -2.6847 5.6312
Rh Si As
4 4 4
Direct
0.5009 0.2540 0.7436 Rh
0.0009 0.7460 0.7564 Rh
0.4991 0.7460 0.2564 Rh
0.9991 0.2540 0.2436 Rh
0.6450 0.6632 0.8460 Si
0.1450 0.3368 0.6540 Si
0.8550 0.6632 0.3460 Si
0.3550 0.3368 0.1540 Si
0.8854 0.1677 0.8167 As
0.3854 0.8323 0.6833 As
0.1146 0.8323 0.1833 As
0.6146 0.1677 0.3167 As
```


(2)
Material: Pd4PbAu2
Method: DFT, GGA-PBE
State: optimized geometry

Values from the calculation:
Its symmetry is I4/mmm, No. 139. The calculation puts the energy relative to the elements at -0.049 eV/atom.

POSCAR file:
```
Pd4PbAu2
1.0
5.3158 0.2959 -1.6899
-2.5641 4.4505 -2.1955
0.1705 -0.2959 5.5754
Pd Au Pb
4 2 1
Direct
0.0000 0.0000 0.5000 Pd
0.5000 0.5000 0.5000 Pd
0.0000 0.5000 0.0000 Pd
0.5000 0.0000 0.0000 Pd
0.5000 0.5000 0.0000 Au
0.5000 0.0000 0.5000 Au
0.0000 0.0000 0.0000 Pb
```


no.,energy relative to the lowest polymorph listed for this composition (meV/atom)
1,0
2,0